Here is a relaxed structure of BaPdSe from Alexandria. Energies are from PBE.

Calculated values
**Total moment**: 0.00 μB/f.u.
**Formation energy without anion corrections**: -111 kJ/mol of atoms

Cell and atoms, written as CIF:
```
data_BaPdSe
_cell_length_a 4.4702
_cell_length_b 4.6376
_cell_length_c 8.4437
_cell_angle_alpha 85.18
_cell_angle_beta 89.57
_cell_angle_gamma 89.16
_symmetry_space_group_name_H-M 'P -1'
_symmetry_Int_Tables_number 2
_symmetry_space_group_name_Hall '-P 1'
loop_
_atom_site_label
_atom_site_fract_x
_atom_site_fract_y
_atom_site_fract_z
Ba1 0.0000 0.0000 0.0000
Ba2 0.0000 0.5000 0.5000
Pd1 0.4990 0.4550 0.1870
Se1 0.4962 0.9395 0.2889
```


Here is a relaxed structure of Ba2Pd2Se from Alexandria. Energies are from PBE.

Calculated values
**Total moment**: 0.00 μB/f.u.
**Formation energy without anion corrections**: -82 kJ/mol of atoms
**Energy relative to the lowest polymorph listed for this composition**: 0.091 eV/atom

Cell and atoms, written as CIF:
```
data_Ba2Pd2Se
_cell_length_a 6.1059
_cell_length_b 6.1059
_cell_length_c 7.9470
_cell_angle_alpha 90.00
_cell_angle_beta 90.00
_cell_angle_gamma 90.00
_symmetry_space_group_name_H-M 'I 4/m m m'
_symmetry_Int_Tables_number 139
_symmetry_space_group_name_Hall '-I 4 2'
loop_
_atom_site_label
_atom_site_fract_x
_atom_site_fract_y
_atom_site_fract_z
Ba1 0.0000 0.5000 0.2500
Pd1 0.0000 0.0000 0.1640
Se1 0.0000 0.0000 0.5000
```


Here is a relaxed structure of Ba2Pd2Se from Alexandria. Energies are from PBE.

Calculated values
**Total moment**: 0.00 μB/f.u.
**Formation energy without anion corrections**: -90 kJ/mol of atoms
**Energy relative to the lowest polymorph listed for this composition**: 0.000 eV/atom

Cell and atoms, written as CIF:
```
data_Ba2Pd2Se
_cell_length_a 4.0120
_cell_length_b 4.0120
_cell_length_c 17.7258
_cell_angle_alpha 90.00
_cell_angle_beta 90.00
_cell_angle_gamma 90.00
_symmetry_space_group_name_H-M 'I 4/m m m'
_symmetry_Int_Tables_number 139
_symmetry_space_group_name_Hall '-I 4 2'
loop_
_atom_site_label
_atom_site_fract_x
_atom_site_fract_y
_atom_site_fract_z
Ba1 0.0000 0.0000 0.1073
Pd1 0.0000 0.5000 0.2500
Se1 0.0000 0.0000 0.5000
```


Here is a relaxed structure of Ba2Pd2Se from Alexandria. Energies are from PBE.

Calculated values
**Total moment**: 0.00 μB/f.u.
**Formation energy without anion corrections**: -55 kJ/mol of atoms
**Energy relative to the lowest polymorph listed for this composition**: 0.369 eV/atom

Cell and atoms, written as CIF:
```
data_Ba2Pd2Se
_cell_length_a 8.6670
_cell_length_b 8.6670
_cell_length_c 4.4341
_cell_angle_alpha 90.00
_cell_angle_beta 90.00
_cell_angle_gamma 90.00
_symmetry_space_group_name_H-M 'P 4/m b m'
_symmetry_Int_Tables_number 127
_symmetry_space_group_name_Hall '-P 4 2ab'
loop_
_atom_site_label
_atom_site_fract_x
_atom_site_fract_y
_atom_site_fract_z
Ba1 0.1795 0.3205 0.0000
Pd1 0.1059 0.6059 0.5000
Se1 0.0000 0.0000 0.0000
```